Density functional theory data (PBE-GGA) for a geometry-optimized OsRuIN2 structure.

Computed properties:
energy above the most stable polymorph in this dataset = 0.472 eV/atom

Cell lengths 3.7811, 3.7811, 6.2628 Å; angles 90.00, 90.00, 90.00 degrees
Space group P4/mmm (No. 123)
Inequivalent atoms, fractional coordinates:
Os: 0.0000 0.0000 0.0000 x1
Ru: 0.5000 0.5000 0.5000 x1
I: 0.5000 0.5000 0.0000 x1
N: 0.0000 0.5000 0.5000 x2

=====

Density functional theory data (PBE-GGA) for a geometry-optimized ScBe4Br structure.

Cell lengths 6.9353, 6.9353, 6.9353 Å; angles 90.00, 90.00, 90.00 degrees
Space group F-43m (No. 216)
Inequivalent atoms, fractional coordinates:
Sc: 0.0000 0.0000 0.0000 x4
Be: 0.1385 0.1385 0.6385 x16
Br: 0.2500 0.2500 0.2500 x4

=====

Density functional theory data (PBE-GGA) for a geometry-optimized CaHoCdHg structure.

Computed properties:
energy relative to the elements = -41.2 kJ/mol of atoms
energy above the most stable polymorph in this dataset = 0.010 eV/atom

Cell lengths 7.5020, 7.5020, 7.5020 Å; angles 90.00, 90.00, 90.00 degrees
Space group F-43m (No. 216)
Inequivalent atoms, fractional coordinates:
Ca: 0.0000 0.0000 0.0000 x4
Ho: 0.0000 0.0000 0.5000 x4
Cd: 0.2500 0.2500 0.7500 x4
Hg: 0.2500 0.2500 0.2500 x4

=====

Density functional theory data (PBE-GGA) for a geometry-optimized PrHo6 structure.

Computed properties:
energy relative to the elements = 136.4 kJ/mol of atoms

Cell lengths 8.0585, 8.0585, 8.0585 Å; angles 90.00, 90.00, 90.00 degrees
Space group Im-3m (No. 229)
Inequivalent atoms, fractional coordinates:
Pr: 0.0000 0.0000 0.0000 x2
Ho: 0.0000 0.2500 0.5000 x12

=====

Density functional theory data (PBE-GGA) for a geometry-optimized K2H2OF2 structure.

Cell lengths 3.6099, 4.8212, 5.8277 Å; angles 87.87, 82.29, 81.37 degrees
Space group P-1 (No. 2)
Inequivalent atoms, fractional coordinates:
K: 0.0043 0.2750 0.2096 x2
H: 0.4745 0.8703 0.3664 x2
O: 0.5000 0.0000 0.5000 x1
F: 0.4195 0.7174 0.1790 x2

=====

Density functional theory data (PBE-GGA) for a geometry-optimized BeCuHg3 structure.

Computed properties:
energy relative to the elements = 48.0 kJ/mol of atoms
energy above the most stable polymorph in this dataset = 0.000 eV/atom

Cell lengths 4.7573, 4.7573, 4.7573 Å; angles 90.00, 90.00, 90.00 degrees
Space group Pm-3m (No. 221)
Inequivalent atoms, fractional coordinates:
Be: 0.0000 0.0000 0.0000 x1
Cu: 0.5000 0.5000 0.5000 x1
Hg: 0.0000 0.0000 0.5000 x3

=====

Density functional theory data (PBE-GGA) for a geometry-optimized Pr6AsN4 structure.

Cell lengths 3.8141, 12.3527, 19.2416 Å; angles 90.00, 90.00, 90.00 degrees
Space group Cmcm (No. 63)
Inequivalent atoms, fractional coordinates:
Pr: 0.0000 0.0000 0.0000 x4
Pr: 0.0000 0.1522 0.2500 x4
Pr: 0.0000 0.2781 0.5781 x8
Pr: 0.0000 0.4568 0.1500 x8
As: 0.0000 0.1646 0.7500 x4
N: 0.0000 0.0852 0.1244 x8
N: 0.0000 0.3608 0.0398 x8

=====

Density functional theory data (PBE-GGA) for a geometry-optimized CoGeRuN2 structure.

Cell lengths 3.4984, 3.4984, 5.4914 Å; angles 90.00, 90.00, 90.00 degrees
Space group P4/mmm (No. 123)
Inequivalent atoms, fractional coordinates:
Co: 0.0000 0.0000 0.0000 x1
Ge: 0.5000 0.5000 0.5000 x1
Ru: 0.0000 0.0000 0.5000 x1
N: 0.0000 0.5000 0.0000 x2

=====

Density functional theory data (PBE-GGA) for a geometry-optimized Li2AcB2O6 structure.

Cell lengths 5.1814, 5.1814, 6.5196 Å; angles 90.00, 90.00, 120.00 degrees
Space group P-3 (No. 147)
Inequivalent atoms, fractional coordinates:
Li: 0.3333 0.6667 0.3249 x2
Ac: 0.0000 0.0000 0.0000 x1
B: 0.3333 0.6667 0.7663 x2
O: 0.0526 0.4187 0.7684 x6

=====

Density functional theory data (PBE-GGA) for a geometry-optimized Tc2BiS structure.

Computed properties:
energy above the most stable polymorph in this dataset = 0.084 eV/atom

Cell lengths 6.4428, 6.4428, 6.4428 Å; angles 90.00, 90.00, 90.00 degrees
Space group Fm-3m (No. 225)
Inequivalent atoms, fractional coordinates:
Tc: 0.2500 0.2500 0.2500 x8
Bi: 0.0000 0.0000 0.0000 x4
S: 0.0000 0.0000 0.5000 x4

=====

Density functional theory data (PBE-GGA) for a geometry-optimized Tm6SbTe5 structure.

Cell lengths 7.4329, 12.8906, 7.5034 Å; angles 90.00, 109.21, 90.00 degrees
Space group C2/m (No. 12)
Inequivalent atoms, fractional coordinates:
Tm: 0.2423 0.0000 0.2524 x4
Tm: 0.2433 0.1629 0.7431 x8
Sb: 0.0000 0.0000 0.5000 x2
Te: 0.0000 0.1703 0.0000 x4
Te: 0.0000 0.3344 0.5000 x4
Te: 0.0000 0.5000 0.0000 x2

=====

Density functional theory data (PBE-GGA) for a geometry-optimized LiSi2Hg structure.

Cell lengths 6.5864, 6.5864, 6.5864 Å; angles 90.00, 90.00, 90.00 degrees
Space group F-43m (No. 216)
Inequivalent atoms, fractional coordinates:
Li: 0.0000 0.0000 0.0000 x4
Si: 0.0000 0.0000 0.5000 x4
Si: 0.2500 0.2500 0.7500 x4
Hg: 0.2500 0.2500 0.2500 x4

=====

Density functional theory data (PBE-GGA) for a geometry-optimized CoPdBr2 structure.

Computed properties:
energy above the most stable polymorph in this dataset = 0.345 eV/atom

Cell lengths 6.7015, 6.7015, 6.7015 Å; angles 90.00, 90.00, 90.00 degrees
Space group Fm-3m (No. 225)
Inequivalent atoms, fractional coordinates:
Co: 0.0000 0.0000 0.0000 x4
Pd: 0.0000 0.0000 0.5000 x4
Br: 0.2500 0.2500 0.2500 x8

=====

Density functional theory data (PBE-GGA) for a geometry-optimized Nd2HoTm8 structure.

Computed properties:
energy relative to the elements = 15.7 kJ/mol of atoms
energy above the most stable polymorph in this dataset = 0.000 eV/atom

Cell lengths 9.0026, 15.8904, 5.8369 Å; angles 90.00, 123.18, 90.00 degrees
Space group C2/m (No. 12)
Inequivalent atoms, fractional coordinates:
Nd: 0.0000 0.1934 0.0000 x4
Ho: 0.0000 0.5000 0.5000 x2
Tm: 0.0000 0.2926 0.5000 x4
Tm: 0.0692 0.0000 0.2966 x4
Tm: 0.2136 0.3839 0.1732 x8

=====

The calculation returns the following total moment values, one per record and in order: 0.2832 0.0000 0.0000 0.0000 0.0056 0.0000 0.0008 0.0005 0.0929 0.0000 0.0000 0.0000 0.7500 0.0000 μB/atom.
The calculation returns the following calculated total energy values, one per record and in order: -30.13 -80.48 -38.01 -44.70 -30.72 -6.24 -320.25 -32.41 -77.78 -105.33 -121.46 -47.30 -54.97 -96.20 eV/cell.